First-principles (PBE) data for a relaxed LiTiNF2 crystal, as listed in the Alexandria database.

## Properties
* space group: P4/mmm
* energy above the lowest structure with this stoichiometry: 596.9 meV per atom
* E_form (uncorrected): -1.412 eV/atom

Structure (extended XYZ):
```
5
Lattice="3.272 0.000 0.000 0.000 3.272 0.000 0.000 0.000 4.277" Properties=species:S:1:pos:R:3 pbc="T T T"
Li 0.000 0.000 0.000
Ti 1.636 1.636 2.138
N 0.000 0.000 2.138
F 0.000 1.636 0.000
F 1.636 0.000 0.000
```